A relaxed structure of NaDyMgSe3, computed with PBE.

Computed properties:
E_tot (eV per atom): -4.449

The structure in CIF format:
```
data_NaDyMgSe3
_cell_length_a 13.952
_cell_length_b 4.166
_cell_length_c 11.270
_cell_angle_alpha 90.00
_cell_angle_beta 90.00
_cell_angle_gamma 90.00
_symmetry_space_group_name_H-M 'P 1'
_symmetry_Int_Tables_number 1
loop_
_symmetry_equiv_pos_as_xyz
'x,y,z'
loop_
_atom_site_label
_atom_site_fract_x
_atom_site_fract_y
_atom_site_fract_z
Mg1 0.486 0.750 0.099
Mg2 0.514 0.250 0.901
Mg3 0.986 0.750 0.401
Mg4 0.014 0.250 0.599
Se1 0.856 0.750 0.246
Se2 0.105 0.750 0.077
Se3 0.093 0.250 0.387
Se4 0.407 0.750 0.887
Se5 0.356 0.750 0.254
Se6 0.644 0.250 0.746
Se7 0.895 0.250 0.923
Se8 0.144 0.250 0.754
Se9 0.395 0.250 0.577
Se10 0.907 0.750 0.613
Se11 0.605 0.750 0.423
Se12 0.593 0.250 0.113
Dy1 0.524 0.750 0.651
Dy2 0.476 0.250 0.349
Dy3 0.976 0.250 0.151
Dy4 0.024 0.750 0.849
Na1 0.242 0.750 0.577
Na2 0.258 0.250 0.077
Na3 0.742 0.750 0.923
Na4 0.758 0.250 0.423
```